A plane-wave DFT calculation with PBEsol was carried out for AlCuSe2I after structural relaxation.

ΔE_f (raw), eV/atom: 0.342

```
data_AlCuSe2I
_symmetry_space_group_name_H-M 'P 4/m m m'
_symmetry_Int_Tables_number 123
_symmetry_space_group_name_Hall '-P 4 2'
_cell_length_a 4.7064
_cell_length_b 4.7064
_cell_length_c 5.3874
_cell_angle_alpha 90.00
_cell_angle_beta 90.00
_cell_angle_gamma 90.00
loop_
_atom_site_label
_atom_site_fract_x
_atom_site_fract_y
_atom_site_fract_z
Al1 0.0000 0.0000 0.0000
Cu1 0.5000 0.5000 0.5000
Se1 0.0000 0.5000 0.5000
I1 0.5000 0.5000 0.0000
```